P | # PBE LiPm3Ga, relaxed
# D(E_F) in states/eV per cell: 8.50
data_LiPm3Ga
_chemical_formula_sum 'Li2 Pm6 Ga2'
_cell_length_a 9.4237
_cell_length_b 9.4237
_cell_length_c 9.4237
_cell_angle_alpha 41.81
_cell_angle_beta 41.81
_cell_angle_gamma 41.81
_symmetry_space_group_name_H-M 'P 1'
_symmetry_Int_Tables_number 1
loop_
_symmetry_equiv_pos_as_xyz
'x,y,z'
loop_
_atom_site_label
_atom_site_type_symbol
_atom_site_fract_x
_atom_site_fract_y
_atom_site_fract_z
Li1 Li 0.1669 0.1669 0.1669
Li2 Li 0.8331 0.8331 0.8331
Pm1 Pm 0.1135 0.1135 0.6038
Pm2 Pm 0.1135 0.6038 0.1135
Pm3 Pm 0.3962 0.8865 0.8865
Pm4 Pm 0.6038 0.1135 0.1135
Pm5 Pm 0.8865 0.3962 0.8865
Pm6 Pm 0.8865 0.8865 0.3962
Ga1 Ga 0.3725 0.3725 0.3725
Ga2 Ga 0.6275 0.6275 0.6275

---

Q | # PBE LiPm3Ga, relaxed
# D(E_F) in states/eV per cell: 10.45
data_LiPm3Ga
_chemical_formula_sum 'Li2 Pm6 Ga2'
_cell_length_a 10.4971
_cell_length_b 10.4971
_cell_length_c 5.1702
_cell_angle_alpha 90.00
_cell_angle_beta 90.00
_cell_angle_gamma 151.45
_symmetry_space_group_name_H-M 'P 1'
_symmetry_Int_Tables_number 1
loop_
_symmetry_equiv_pos_as_xyz
'x,y,z'
loop_
_atom_site_label
_atom_site_type_symbol
_atom_site_fract_x
_atom_site_fract_y
_atom_site_fract_z
Li1 Li 0.1583 0.8417 0.7500
Li2 Li 0.8417 0.1583 0.2500
Pm1 Pm 0.0643 0.9357 0.2500
Pm2 Pm 0.2492 0.7508 0.2500
Pm3 Pm 0.4323 0.5677 0.2500
Pm4 Pm 0.5677 0.4323 0.7500
Pm5 Pm 0.7508 0.2492 0.7500
Pm6 Pm 0.9357 0.0643 0.7500
Ga1 Ga 0.3394 0.6606 0.7500
Ga2 Ga 0.6606 0.3394 0.2500

---

Last place for stability: P

---

P | # PBE LiPmGaPt, relaxed
# D(E_F) in states/eV per cell: 5.55
data_LiPmGaPt
_chemical_formula_sum 'Li1 Pm1 Ga1 Pt1'
_cell_length_a 4.7412
_cell_length_b 4.7412
_cell_length_c 4.7412
_cell_angle_alpha 60.00
_cell_angle_beta 60.00
_cell_angle_gamma 60.00
_symmetry_space_group_name_H-M 'P 1'
_symmetry_Int_Tables_number 1
loop_
_symmetry_equiv_pos_as_xyz
'x,y,z'
loop_
_atom_site_label
_atom_site_type_symbol
_atom_site_fract_x
_atom_site_fract_y
_atom_site_fract_z
Li1 Li 0.0000 0.0000 0.0000
Pm1 Pm 0.2500 0.2500 0.2500
Ga1 Ga 0.7500 0.7500 0.7500
Pt1 Pt 0.5000 0.5000 0.5000

---

Q | # PBE LiPmGaPt, relaxed
# D(E_F) in states/eV per cell: 2.10
data_LiPmGaPt
_chemical_formula_sum 'Li1 Pm1 Ga1 Pt1'
_cell_length_a 5.1333
_cell_length_b 5.1333
_cell_length_c 5.0285
_cell_angle_alpha 108.13
_cell_angle_beta 108.13
_cell_angle_gamma 46.00
_symmetry_space_group_name_H-M 'P 1'
_symmetry_Int_Tables_number 1
loop_
_symmetry_equiv_pos_as_xyz
'x,y,z'
loop_
_atom_site_label
_atom_site_type_symbol
_atom_site_fract_x
_atom_site_fract_y
_atom_site_fract_z
Li1 Li 0.0000 0.0000 0.0000
Pm1 Pm 0.6484 0.6484 0.6336
Ga1 Ga 0.3015 0.3015 0.1404
Pt1 Pt 0.9037 0.9037 0.4284

---

Last place for stability: Q

---

P | # PBE Li2PrGa6, relaxed
# D(E_F) in states/eV per cell: 3.93
data_Li2PrGa6
_chemical_formula_sum 'Li2 Pr1 Ga6'
_cell_length_a 7.2366
_cell_length_b 7.2366
_cell_length_c 7.2366
_cell_angle_alpha 146.58
_cell_angle_beta 120.37
_cell_angle_gamma 70.11
_symmetry_space_group_name_H-M 'P 1'
_symmetry_Int_Tables_number 1
loop_
_symmetry_equiv_pos_as_xyz
'x,y,z'
loop_
_atom_site_label
_atom_site_type_symbol
_atom_site_fract_x
_atom_site_fract_y
_atom_site_fract_z
Li1 Li 0.1156 0.1156 0.0000
Li2 Li 0.8844 0.8844 0.0000
Pr1 Pr 0.5000 0.0000 0.5000
Ga1 Ga 0.1177 0.3055 0.8122
Ga2 Ga 0.1703 0.5000 0.6703
Ga3 Ga 0.4932 0.3055 0.1878
Ga4 Ga 0.5068 0.6945 0.8122
Ga5 Ga 0.8297 0.5000 0.3297
Ga6 Ga 0.8823 0.6945 0.1878

---

Q | # PBE Li2PrGa6, relaxed
# D(E_F) in states/eV per cell: 3.78
data_Li2PrGa6
_chemical_formula_sum 'Li2 Pr1 Ga6'
_cell_length_a 7.7520
_cell_length_b 7.7520
_cell_length_c 3.4596
_cell_angle_alpha 90.00
_cell_angle_beta 90.00
_cell_angle_gamma 120.00
_symmetry_space_group_name_H-M 'P 1'
_symmetry_Int_Tables_number 1
loop_
_symmetry_equiv_pos_as_xyz
'x,y,z'
loop_
_atom_site_label
_atom_site_type_symbol
_atom_site_fract_x
_atom_site_fract_y
_atom_site_fract_z
Li1 Li 0.3333 0.6667 0.0000
Li2 Li 0.6667 0.3333 0.0000
Pr1 Pr 0.0000 0.0000 0.0000
Ga1 Ga 0.0000 0.3399 0.5000
Ga2 Ga 0.0000 0.6601 0.5000
Ga3 Ga 0.3399 0.0000 0.5000
Ga4 Ga 0.3399 0.3399 0.5000
Ga5 Ga 0.6601 0.0000 0.5000
Ga6 Ga 0.6601 0.6601 0.5000

---

Last place for stability: Q